# 1
{"formula": "As3Se2", "functional": "GGA-PBEsol", "state": "relaxed", "lattice": [[3.6896, 0.0000, 0.0000], [-1.8448, 3.1952, 0.0000], [0.0000, 0.0000, 27.1236]], "species": ["As", "As", "As", "As", "As", "As", "As", "As", "As", "Se", "Se", "Se", "Se", "Se", "Se"], "fractional_positions": [[0.0000, 0.0000, 0.0000], [0.0000, 0.0000, 0.1917], [0.0000, 0.0000, 0.8083], [0.3333, 0.6667, 0.4750], [0.3333, 0.6667, 0.6667], [0.3333, 0.6667, 0.8583], [0.6667, 0.3333, 0.1417], [0.6667, 0.3333, 0.3333], [0.6667, 0.3333, 0.5250], [0.0000, 0.0000, 0.3923], [0.0000, 0.0000, 0.6077], [0.3333, 0.6667, 0.0590], [0.3333, 0.6667, 0.2744], [0.6667, 0.3333, 0.7256], [0.6667, 0.3333, 0.9410]], "formation_energy_uncorrected_mev_per_atom": -44, "magnetic_moment_mub_per_fu": 0.000}

***

# 2
{"formula": "As2Se3", "functional": "GGA-PBEsol", "state": "relaxed", "lattice": [[3.7487, 0.0000, 0.0000], [-1.8743, 3.2464, 0.0000], [0.0000, 0.0000, 9.4191]], "species": ["As", "As", "Se", "Se", "Se"], "fractional_positions": [[0.3333, 0.6667, 0.3155], [0.6667, 0.3333, 0.6845], [0.0000, 0.0000, 0.5000], [0.3333, 0.6667, 0.8401], [0.6667, 0.3333, 0.1599]], "formation_energy_uncorrected_mev_per_atom": -131, "magnetic_moment_mub_per_fu": 0.000}

***

# 3
{"formula": "AsSe5", "functional": "GGA-PBEsol", "state": "relaxed", "lattice": [[6.1430, 0.0000, 0.0000], [-3.0715, 5.3200, 0.0000], [0.0000, 0.0000, 3.8119]], "species": ["As", "Se", "Se", "Se", "Se", "Se"], "fractional_positions": [[0.0000, 0.0000, 0.0000], [0.0000, 0.6782, 0.5000], [0.3218, 0.3218, 0.5000], [0.3333, 0.6667, 0.0000], [0.6667, 0.3333, 0.0000], [0.6782, 0.0000, 0.5000]], "formation_energy_uncorrected_mev_per_atom": 248, "magnetic_moment_mub_per_fu": 0.000}

***

# 4
{"formula": "SiAs2Se", "functional": "GGA-PBEsol", "state": "relaxed", "lattice": [[3.4522, 0.0000, 0.0000], [0.0000, 4.3501, 0.0000], [0.0000, 0.0000, 10.3580]], "species": ["Si", "Si", "As", "As", "As", "As", "Se", "Se"], "fractional_positions": [[0.0000, 0.0000, 0.0000], [0.5000, 0.5000, 0.5000], [0.0000, 0.0000, 0.5245], [0.0000, 0.5000, 0.6811], [0.5000, 0.0000, 0.1811], [0.5000, 0.5000, 0.0245], [0.0000, 0.5000, 0.3245], [0.5000, 0.0000, 0.8245]], "formation_energy_uncorrected_mev_per_atom": 248, "polymorph_energy_mev_per_atom": 0, "magnetic_moment_mub_per_fu": 0.000}

***

# 5
{"formula": "SiAsSe2", "functional": "GGA-PBEsol", "state": "relaxed", "lattice": [[3.6368, 0.0000, 0.0000], [0.0000, 3.6368, 0.0000], [0.0000, 0.0000, 13.2180]], "species": ["Si", "Si", "As", "As", "Se", "Se", "Se", "Se"], "fractional_positions": [[0.0000, 0.0000, 0.0000], [0.5000, 0.5000, 0.5000], [0.0000, 0.5000, 0.2500], [0.5000, 0.0000, 0.7500], [0.0000, 0.0000, 0.5000], [0.0000, 0.5000, 0.7500], [0.5000, 0.0000, 0.2500], [0.5000, 0.5000, 0.0000]], "formation_energy_uncorrected_mev_per_atom": 309, "polymorph_energy_mev_per_atom": 115, "magnetic_moment_mub_per_fu": 0.000}

***

# 6
{"formula": "SiAsSe2", "functional": "GGA-PBEsol", "state": "relaxed", "lattice": [[6.6032, 0.0000, 0.0000], [0.0000, 6.6032, 0.0000], [0.0000, 0.0000, 6.6032]], "species": ["Si", "Si", "Si", "Si", "As", "As", "As", "As", "Se", "Se", "Se", "Se", "Se", "Se", "Se", "Se"], "fractional_positions": [[0.0000, 0.0000, 0.0000], [0.0000, 0.5000, 0.5000], [0.5000, 0.0000, 0.5000], [0.5000, 0.5000, 0.0000], [0.2500, 0.2500, 0.2500], [0.2500, 0.7500, 0.7500], [0.7500, 0.2500, 0.7500], [0.7500, 0.7500, 0.2500], [0.0000, 0.0000, 0.5000], [0.0000, 0.5000, 0.0000], [0.2500, 0.2500, 0.7500], [0.2500, 0.7500, 0.2500], [0.5000, 0.0000, 0.0000], [0.5000, 0.5000, 0.5000], [0.7500, 0.2500, 0.2500], [0.7500, 0.7500, 0.7500]], "formation_energy_uncorrected_mev_per_atom": 445, "polymorph_energy_mev_per_atom": 250, "magnetic_moment_mub_per_fu": 0.000}

***

# 7
{"formula": "SiAsSe2", "functional": "GGA-PBEsol", "state": "relaxed", "lattice": [[3.6419, 0.0000, 0.0000], [0.0000, 3.6872, 0.0000], [0.0000, 0.0000, 6.3478]], "species": ["Si", "As", "Se", "Se"], "fractional_positions": [[0.0000, 0.0000, 0.0000], [0.5000, 0.0000, 0.5000], [0.0000, 0.5000, 0.5000], [0.5000, 0.5000, 0.0000]], "formation_energy_uncorrected_mev_per_atom": 321, "polymorph_energy_mev_per_atom": 126, "magnetic_moment_mub_per_fu": 0.000}

***

# 8
{"formula": "SiAs2Se", "functional": "GGA-PBEsol", "state": "relaxed", "lattice": [[3.1516, 0.0000, 0.0000], [0.0000, 3.1516, 0.0000], [0.0000, 0.0000, 7.4940]], "species": ["Si", "As", "As", "Se"], "fractional_positions": [[0.0000, 0.0000, 0.0000], [0.5000, 0.5000, 0.1874], [0.5000, 0.5000, 0.8126], [0.0000, 0.0000, 0.5000]], "formation_energy_uncorrected_mev_per_atom": 341, "polymorph_energy_mev_per_atom": 93, "magnetic_moment_mub_per_fu": 0.000}

***

# 9
{"formula": "SiAsSe2", "functional": "GGA-PBEsol", "state": "relaxed", "lattice": [[3.5961, 0.0000, 0.0000], [0.0000, 6.3889, 0.0000], [0.0000, 0.0000, 7.3942]], "species": ["Si", "Si", "As", "As", "Se", "Se", "Se", "Se"], "fractional_positions": [[0.0000, 0.0000, 0.0000], [0.5000, 0.5000, 0.0000], [0.0000, 0.0000, 0.5000], [0.5000, 0.5000, 0.5000], [0.0000, 0.5000, 0.2373], [0.0000, 0.5000, 0.7627], [0.5000, 0.0000, 0.2373], [0.5000, 0.0000, 0.7627]], "formation_energy_uncorrected_mev_per_atom": 299, "polymorph_energy_mev_per_atom": 105, "magnetic_moment_mub_per_fu": 0.000}

***

# 10
{"formula": "SiAsSe2", "functional": "GGA-PBEsol", "state": "relaxed", "lattice": [[3.3078, 0.0000, 0.0000], [0.0000, 3.3078, 0.0000], [0.0000, 0.0000, 7.8852]], "species": ["Si", "As", "Se", "Se"], "fractional_positions": [[0.0000, 0.0000, 0.0000], [0.5000, 0.5000, 0.3306], [0.0000, 0.0000, 0.4792], [0.5000, 0.5000, 0.8573]], "formation_energy_uncorrected_mev_per_atom": 194, "polymorph_energy_mev_per_atom": 0, "magnetic_moment_mub_per_fu": 0.000}

***

# 11
{"formula": "TiSiAsSe2", "functional": "GGA-PBEsol", "state": "relaxed", "lattice": [[4.7249, 0.0000, 0.0000], [0.0000, 4.7249, 0.0000], [0.0000, 0.0000, 4.6529]], "species": ["Ti", "Si", "As", "Se", "Se"], "fractional_positions": [[0.0000, 0.0000, 0.0000], [0.5000, 0.5000, 0.5000], [0.5000, 0.5000, 0.0000], [0.0000, 0.5000, 0.5000], [0.5000, 0.0000, 0.5000]], "formation_energy_uncorrected_mev_per_atom": 353, "magnetic_moment_mub_per_fu": 1.251}

***

# 12
{"formula": "TiSiAs2Se", "functional": "GGA-PBEsol", "state": "relaxed", "lattice": [[4.6536, 0.0000, 0.0000], [0.0000, 4.6536, 0.0000], [0.0000, 0.0000, 4.7379]], "species": ["Ti", "Si", "As", "As", "Se"], "fractional_positions": [[0.0000, 0.0000, 0.0000], [0.5000, 0.5000, 0.5000], [0.0000, 0.5000, 0.5000], [0.5000, 0.0000, 0.5000], [0.5000, 0.5000, 0.0000]], "formation_energy_uncorrected_mev_per_atom": 502, "magnetic_moment_mub_per_fu": 1.226}